A | Here is an optimized crystal structure of HgPd5Au from Alexandria. Energies are from PBE.

abc: 7.3735 5.0406 6.3273
angles: 113.47 125.64 90.00
Closest atoms and distances in Å follow each position.
Fractional coordinates of all 7 atoms:
Hg: 0.6718 0.0000 0.0000  2 Pd 2.78, 2 Au 3.00
Pd: 0.4061 0.2520 0.5040  3 Pd 2.57-2.58, 1 Au 2.68
Pd: 0.8302 0.5000 0.0000  4 Pd 2.57-2.58, 2 Hg 2.78, 1 Au 2.79
Pd: 0.9021 0.7480 0.4960  3 Pd 2.57-2.58, 1 Au 2.68
Pd: 0.1344 0.2475 0.0000  5 Pd 2.50-2.58, 1 Au 2.66
Pd: 0.1344 0.7525 0.0000  5 Pd 2.50-2.58, 1 Au 2.66
Au: 0.4516 0.5000 0.0000  5 Pd 2.66-2.79

Output
- Fermi-level density of states: 9.4 states/eV per cell
- Size of the total moment: 0.000 μB per formula unit

B | Here is an optimized crystal structure of HgPd5Au from Alexandria. Energies are from PBE.

abc: 4.9355 4.9355 5.5250
angles: 90.00 90.00 111.22
Closest atoms and distances in Å follow each position.
Fractional coordinates of all 7 atoms:
Hg: 0.5000 0.5000 0.5000  10 Pd 2.79-2.84
Pd: 0.5000 0.0000 0.2449  6 Pd 2.71-2.84, 2 Au 2.81, 2 Hg 2.84
Pd: 0.0000 0.5000 0.2449  6 Pd 2.71-2.84, 2 Au 2.81, 2 Hg 2.84
Pd: 0.0000 0.0000 0.5000  2 Au 2.76, 2 Hg 2.79, 8 Pd 2.84
Pd: 0.0000 0.5000 0.7551  6 Pd 2.71-2.84, 2 Au 2.81, 2 Hg 2.84
Pd: 0.5000 0.0000 0.7551  6 Pd 2.71-2.84, 2 Au 2.81, 2 Hg 2.84
Au: 0.0000 0.0000 0.0000  10 Pd 2.76-2.81

Output
- Fermi-level density of states: 8.0 states/eV per cell
- Size of the total moment: 0.000 μB per formula unit

Most stable: B. Least stable: A.

A | Here is an optimized crystal structure of Hg2Pd3Au from Alexandria. Energies are from PBE.

abc: 3.3641 3.3641 9.3295
angles: 90.00 90.00 90.00
Closest atoms and distances in Å follow each position.
Fractional coordinates of all 6 atoms:
Hg: 0.5000 0.5000 0.8279  8 Pd 2.83-2.87, 1 Au 3.06
Hg: 0.5000 0.5000 0.1721  8 Pd 2.83-2.87, 1 Au 3.06
Pd: 0.0000 0.0000 0.0000  8 Hg 2.87, 2 Pd 3.14
Pd: 0.0000 0.0000 0.6631  4 Au 2.82, 4 Hg 2.83, 2 Pd 3.04-3.14
Pd: 0.0000 0.0000 0.3369  4 Au 2.82, 4 Hg 2.83, 2 Pd 3.04-3.14
Au: 0.5000 0.5000 0.5000  8 Pd 2.82, 2 Hg 3.06

Output
- Fermi-level density of states: 2.2 states/eV per cell
- Size of the total moment: 0.000 μB per formula unit

B | Here is an optimized crystal structure of Hg2Pd3Au from Alexandria. Energies are from PBE.

abc: 4.1057 7.8133 8.2824
angles: 122.52 90.00 105.23
Closest atoms and distances in Å follow each position.
Fractional coordinates of all 12 atoms:
Hg: 0.4139 0.8278 0.7647  6 Pd 2.81-2.89, 4 Au 2.94-3.09, 1 Hg 3.06
Hg: 0.5861 0.1722 0.2353  6 Pd 2.81-2.89, 4 Au 2.94-3.09, 1 Hg 3.06
Hg: 0.7561 0.5123 0.1427  6 Pd 2.81-3.07, 3 Au 2.96-3.00, 3 Hg 3.06
Hg: 0.2439 0.4877 0.8573  6 Pd 2.81-3.07, 3 Au 2.96-3.00, 3 Hg 3.06
Pd: 0.2450 0.4899 0.3687  5 Hg 2.82-2.87, 1 Au 2.92, 6 Pd 2.93-3.01
Pd: 0.9208 0.8415 0.5403  3 Hg 2.81, 8 Pd 2.82-3.01, 1 Au 2.88
Pd: 0.5846 0.1693 0.7037  6 Pd 2.85-2.95, 4 Hg 2.86-3.07, 2 Au 2.93
Pd: 0.4154 0.8307 0.2963  6 Pd 2.85-2.95, 4 Hg 2.86-3.07, 2 Au 2.93
Pd: 0.0792 0.1585 0.4597  3 Hg 2.81, 8 Pd 2.82-3.01, 1 Au 2.88
Pd: 0.7550 0.5101 0.6313  5 Hg 2.82-2.87, 1 Au 2.92, 6 Pd 2.93-3.01
Au: 0.9189 0.8377 0.0479  4 Pd 2.88-2.93, 7 Hg 2.94-3.09, 1 Au 2.96
Au: 0.0811 0.1623 0.9521  4 Pd 2.88-2.93, 7 Hg 2.94-3.09, 1 Au 2.96

Output
- Fermi-level density of states: 5.1 states/eV per cell
- Size of the total moment: 0.000 μB per formula unit

Most stable: A. Least stable: B.

A | Here is an optimized crystal structure of Hg2Pd4Au from Alexandria. Energies are from PBE.

abc: 5.7208 5.7208 5.7208
angles: 89.49 120.29 120.29
Closest atoms and distances in Å follow each position.
Fractional coordinates of all 7 atoms:
Hg: 0.5000 0.5000 0.0000  2 Au 2.85, 8 Pd 2.86
Hg: 0.5000 0.0000 0.5000  2 Au 2.85, 8 Pd 2.86
Pd: 0.5000 0.0000 0.0000  4 Pd 2.85, 4 Hg 2.86, 2 Au 2.86
Pd: 0.5000 0.5000 0.5000  4 Pd 2.85, 2 Au 2.86, 4 Hg 2.86
Pd: 0.0000 0.0000 0.5000  4 Pd 2.85, 4 Hg 2.86, 2 Au 2.86
Pd: 0.0000 0.5000 0.0000  4 Pd 2.85, 4 Hg 2.86, 2 Au 2.86
Au: 0.0000 0.0000 0.0000  4 Hg 2.85, 8 Pd 2.86

Output
- Fermi-level density of states: 3.5 states/eV per cell
- Size of the total moment: 0.000 μB per formula unit

B | Here is an optimized crystal structure of Hg2Pd4Au from Alexandria. Energies are from PBE.

abc: 4.9954 4.9954 7.6531
angles: 70.95 70.95 90.00
Closest atoms and distances in Å follow each position.
Fractional coordinates of all 7 atoms:
Au: 0.0000 0.0000 0.0000  6 Pd 2.50-2.63
Hg: 0.3880 0.3880 0.2239  5 Pd 2.64-2.92
Hg: 0.6120 0.6120 0.7761  5 Pd 2.64-2.92
Pd: 0.1937 0.1937 0.6125  1 Au 2.63, 1 Hg 2.64
Pd: 0.8063 0.8063 0.3875  1 Au 2.63, 1 Hg 2.64
Pd: 0.0000 0.5000 0.0000  2 Au 2.50
Pd: 0.5000 0.0000 0.0000  2 Au 2.50

Output
- Fermi-level density of states: 5.2 states/eV per cell
- Size of the total moment: 0.000 μB per formula unit

Most stable: A. Least stable: B.